A plane-wave DFT calculation with PBE was carried out for an optimized crystal structure of HgBiBrF2.

```
5
Lattice="4.6663 0.0000 0.0000 0.0000 4.6663 0.0000 0.0000 0.0000 5.8550" Properties=species:S:1:pos:R:3 pbc="T T T"
Hg 0.0000 0.0000 0.0000
Bi 2.3332 2.3332 2.9275
Br 2.3332 2.3332 0.0000
F 0.0000 2.3332 2.9275
F 2.3332 0.0000 2.9275
```

Computed properties:
Symmetry: P4/mmm
Density of states at the Fermi level, states/eV per cell: 0.87
E_tot, eV per cell: -16.14
Total moment, μB per formula unit: 0.0
Uncorrected formation energy, meV per atom: -1309
Density, Mg/m³: 6.87